Record 1
Density functional theory data (GGA-PBE) for a relaxed YEr2Ag crystal.

a b c (Å): 6.725 6.879 9.710
angles (deg): 90.00 90.00 90.00
Sites, in units of the cell vectors:
1 Y 0.606 0.504 0.250
2 Y 0.894 0.004 0.250
3 Y 0.394 0.496 0.750
4 Y 0.106 0.996 0.750
5 Er 0.202 0.704 0.050
6 Er 0.298 0.204 0.450
7 Er 0.798 0.296 0.550
8 Er 0.702 0.796 0.950
9 Er 0.798 0.296 0.950
10 Er 0.702 0.796 0.550
11 Er 0.202 0.704 0.450
12 Er 0.298 0.204 0.050
13 Ag 0.034 0.430 0.250
14 Ag 0.466 0.930 0.250
15 Ag 0.966 0.570 0.750
16 Ag 0.534 0.070 0.750

Summary:
* E_form: -128 meV/atom
* offset from the most stable computed form: 0.009 eV/atom
* SG: Pnma


Record 2
Density functional theory data (GGA-PBE) for a relaxed Sm2Al3Ga crystal.

a b c (Å): 3.840 4.468 7.764
angles (deg): 90.00 90.00 90.00
Sites, in units of the cell vectors:
1 Sm 0.000 0.500 0.002
2 Sm 0.000 0.000 0.498
3 Al 0.500 0.000 0.833
4 Al 0.500 0.000 0.168
5 Al 0.500 0.500 0.665
6 Ga 0.500 0.500 0.334

Summary:
* E_form: -532 meV/atom
* SG: Pmm2


Record 3
Density functional theory data (GGA-PBE) for a relaxed SiOsW4 crystal.

a b c (Å): 5.199 5.199 5.199
angles (deg): 60.00 60.00 60.00
Sites, in units of the cell vectors:
1 Si 0.000 0.000 0.000
2 Os 0.750 0.750 0.750
3 W 0.374 0.879 0.374
4 W 0.879 0.374 0.374
5 W 0.374 0.374 0.879
6 W 0.374 0.374 0.374

Summary:
* SG: F-43m
* E_form (uncorrected): 73.54 kJ/mol of atoms


Record 4
Density functional theory data (GGA-PBE) for a relaxed AcTb7In4 crystal.

a b c (Å): 5.845 9.442 7.740
angles (deg): 76.91 67.82 71.97
Sites, in units of the cell vectors:
1 Ac 0.000 0.000 0.000
2 Tb 0.787 0.877 0.549
3 Tb 0.213 0.123 0.451
4 Tb 0.061 0.609 0.269
5 Tb 0.939 0.391 0.731
6 Tb 0.294 0.640 0.772
7 Tb 0.500 0.000 0.000
8 Tb 0.706 0.360 0.228
9 In 0.562 0.237 0.640
10 In 0.438 0.763 0.360
11 In 0.685 0.669 0.962
12 In 0.315 0.331 0.038

Summary:
* E_form: -73 meV/atom
* SG: C2/m


no.,energy (eV for the cell shown),size of the total moment (μB per formula unit)
1,-75.814,0.00
2,-26.885,0.00
3,-63.893,0.00
4,-48.356,0.27